MgTl2Ni3F12: relaxed, GGA+U.

Unit cell a=7.2578 b=7.2578 c=17.4724 alpha=90.00 beta=90.00 gamma=120.00
Last column: nearest neighbours and their distance in Å.
Space group R-3m (No. 166, hexagonal axes)
Unique sites:
Mg1 0.0000 0.0000 0.0000 [3 per cell]  6 F 2.00
Tl1 0.0000 0.0000 0.3726 [6 per cell]  6 F 3.03-3.16
Ni1 0.0000 0.5000 0.5000 [9 per cell]  6 F 1.91-1.94
F1 0.0627 0.5313 0.6068 [18 per cell]  1 Ni 1.91, 1 Mg 2.00
F2 0.0720 0.5360 0.8540 [18 per cell]  2 Ni 1.94

Results
For the energy, the calculation gives -74.7 eV/f.u.